{
  "formula": "BaHg3Pt",
  "functional": "PBE",
  "state": "optimized geometry",
  "relative_energy_kj_per_mol_fu": 12,
  "formation_energy_ev_per_atom": -0.363,
  "total_magnetization_mub_per_atom": 0.000,
  "space_group": "Pm-3m",
  "lattice_angstrom": [[-3.934, 3.579, 0.330], [-3.592, -3.932, -0.179], [0.123, -0.354, 5.316]],
  "species": ["Hg", "Hg", "Hg", "Pt", "Ba"],
  "fractional_positions": [[0.000, 0.500, 0.000], [0.000, 0.000, 0.500], [0.500, 0.000, 0.000], [0.000, 0.000, 0.000], [0.500, 0.500, 0.500]]
}



{
  "formula": "Pm2HfSi3Pt4",
  "functional": "PBE",
  "state": "optimized geometry",
  "formation_energy_uncorrected_ev_per_atom": -1.076,
  "total_magnetization_mub_per_atom": 0.000,
  "space_group": "P-4m2",
  "lattice_angstrom": [[-4.104, 1.027, 0.580], [-0.059, -2.278, 3.612], [2.872, 8.442, 5.371]],
  "species": ["Pm", "Pm", "Hf", "Si", "Si", "Si", "Pt", "Pt", "Pt", "Pt"],
  "fractional_positions": [[0.500, 0.000, 0.235], [0.000, 0.500, 0.765], [0.500, 0.500, 0.500], [0.000, 0.000, 0.500], [0.500, 0.000, 0.875], [0.000, 0.500, 0.125], [0.500, 0.500, 0.000], [0.000, 0.000, 0.000], [0.500, 0.000, 0.646], [0.000, 0.500, 0.354]]
}



One value per record, in order, for N(E_F): 1.43, 7.82 states/eV/cell.
One value per record, in order, for energy: -10.7, -70.6 eV per cell.